No. 1
## SrMgCuSn2 (PBE)

Data for a geometry-optimized SrMgCuSn2 structure.

The space group is I-4m2 (No. 119) and the conventional cell measures 4.598, 4.598 and 12.073 Å, with angles of 90.00, 90.00 and 90.00 degrees. The distinct sites, in fractional coordinates, are Sr at (0.000, 0.000, 0.000), Mg at (0.000, 0.500, 0.250), Cu at (0.000, 0.500, 0.750) and Sn at (0.000, 0.000, 0.381).

The calculation puts the energy relative to the elements at -0.35 eV/atom. The calculation puts the volume at 25.52 A^3/atom.

---

No. 2
## Tm3RhAu (PBE)

Data for a geometry-optimized Tm3RhAu structure.

The space group is Pmmn (No. 59, origin choice 2) and the conventional cell measures 4.186, 6.892 and 8.582 Å, with angles of 90.00, 90.00 and 90.00 degrees. The distinct sites, in fractional coordinates, are Tm at (0.250, 0.005, 0.164), Tm at (0.250, 0.250, 0.562), Rh at (0.250, 0.250, 0.893) and Au at (0.250, 0.750, 0.667).

The calculation puts the energy relative to the elements at -0.72 eV/atom. The value obtained for the excess energy over the best structure of this formula in the dataset is 4.1 kJ/mol of atoms. The calculation puts the volume at 24.76 A^3/atom.

---

No. 3
## TcTeAu2 (PBE)

Data for a geometry-optimized TcTeAu2 structure.

The space group is P4mm (No. 99) and the conventional cell measures 3.433, 3.433 and 6.395 Å, with angles of 90.00, 90.00 and 90.00 degrees. The distinct sites, in fractional coordinates, are Tc at (0.000, 0.000, 0.000), Te at (0.500, 0.500, 0.199), Au at (0.000, 0.000, 0.513) and Au at (0.500, 0.500, 0.737).

The formation energy without anion corrections is 22.9 kJ per mole of atoms. The calculation puts the volume at 18.84 A^3/atom.

---

No. 4
## LaAg2Au2 (PBE)

Data for a geometry-optimized LaAg2Au2 structure.

The space group is I4/mmm (No. 139) and the conventional cell measures 5.097, 5.097 and 9.162 Å, with angles of 90.00, 90.00 and 90.00 degrees. The distinct sites, in fractional coordinates, are La at (0.000, 0.000, 0.000), Ag at (0.000, 0.000, 0.357) and Au at (0.000, 0.500, 0.250).

The calculation puts the energy relative to the elements at -0.30 eV/atom. The value obtained for the excess energy over the best structure of this formula in the dataset is 13.0 kJ/mol of atoms. The calculation puts the volume at 23.80 A^3/atom.

---

No. 5
## Er4GaRh2 (PBE)

Data for a geometry-optimized Er4GaRh2 structure.

The space group is P4/mmm (No. 123) and the conventional cell measures 4.821, 4.821 and 6.939 Å, with angles of 90.00, 90.00 and 90.00 degrees. The distinct sites, in fractional coordinates, are Er at (0.000, 0.500, 0.245), Ga at (0.000, 0.000, 0.500), Rh at (0.000, 0.000, 0.000) and Rh at (0.500, 0.500, 0.500).

The calculation puts the energy relative to the elements at -0.65 eV/atom. The value obtained for the excess energy over the best structure of this formula in the dataset is 4.3 kJ/mol of atoms. The calculation puts the volume at 23.04 A^3/atom.

---

No. 6
## TlCoHgCl5 (PBE)

Data for a geometry-optimized TlCoHgCl5 structure.

The space group is C2/c (No. 15) and the conventional cell measures 9.007, 12.091 and 9.295 Å, with angles of 90.00, 112.13 and 90.00 degrees. The distinct sites, in fractional coordinates, are Tl at (0.000, 0.144, 0.250), Co at (0.000, 0.187, 0.750), Hg at (0.000, 0.500, 0.000), Cl at (0.000, 0.414, 0.250), Cl at (0.118, 0.292, 0.623) and Cl at (0.171, 0.077, 0.934).

The formation energy without anion corrections is -65.9 kJ per mole of atoms. The calculation puts the volume at 29.30 A^3/atom.

---

No. 7
## Tb2Sm5Er2 (PBE)

Data for a geometry-optimized Tb2Sm5Er2 structure.

The space group is C2/m (No. 12) and the conventional cell measures 15.226, 5.071 and 8.012 Å, with angles of 90.00, 108.54 and 90.00 degrees. The distinct sites, in fractional coordinates, are Tb at (0.110, 0.000, 0.166), Sm at (0.000, 0.000, 0.500), Sm at (0.166, 0.500, 0.501), Sm at (0.222, 0.000, 0.834) and Er at (0.055, 0.500, 0.836).

The calculation puts the energy relative to the elements at 0.02 eV/atom. The value obtained for the excess energy over the best structure of this formula in the dataset is 0.0 kJ/mol of atoms. The calculation puts the volume at 32.59 A^3/atom.

---

No. 8
## PuZrZn4 (PBE)

Data for a geometry-optimized PuZrZn4 structure.

The space group is F-43m (No. 216) and the conventional cell measures 7.556, 7.556 and 7.556 Å, with angles of 90.00, 90.00 and 90.00 degrees. The distinct sites, in fractional coordinates, are Pu at (0.000, 0.000, 0.000), Zr at (0.250, 0.250, 0.750) and Zn at (0.124, 0.124, 0.376).

The calculation puts the energy relative to the elements at -0.17 eV/atom. The value obtained for the excess energy over the best structure of this formula in the dataset is 4.5 kJ/mol of atoms. The calculation puts the volume at 17.97 A^3/atom.

---

No. 9
## NdTm2Au2 (PBE)

Data for a geometry-optimized NdTm2Au2 structure.

The space group is P4/mbm (No. 127) and the conventional cell measures 8.208, 8.208 and 3.765 Å, with angles of 90.00, 90.00 and 90.00 degrees. The distinct sites, in fractional coordinates, are Nd at (0.000, 0.000, 0.000), Tm at (0.160, 0.340, 0.500) and Au at (0.131, 0.631, 0.000).

The calculation puts the energy relative to the elements at -0.69 eV/atom. The calculation puts the volume at 25.37 A^3/atom.

---

No. 10
## MgSn2As2 (PBE)

Data for a geometry-optimized MgSn2As2 structure.

The space group is I4/mmm (No. 139) and the conventional cell measures 3.785, 3.785 and 17.119 Å, with angles of 90.00, 90.00 and 90.00 degrees. The distinct sites, in fractional coordinates, are Mg at (0.000, 0.000, 0.000), Sn at (0.000, 0.000, 0.399) and As at (0.000, 0.500, 0.250).

The calculation puts the energy relative to the elements at 0.13 eV/atom. The value obtained for the excess energy over the best structure of this formula in the dataset is 15.2 kJ/mol of atoms. The calculation puts the volume at 24.52 A^3/atom.

---

In order of appearance, ρ = 5.37, 10.82, 13.65, 10.44, 9.72, 4.54, 7.95, 9.19, 11.47, 5.57 g cm⁻³.